Entry 1:
## CsTbSiS4 (meta-GGA SCAN)

Data for a PBEsol-optimized structure of CsTbSiS4.

abc: 6.305 6.600 17.540
angles: 90.00 90.00 90.00
Element x y z (fractional)
Cs 0.014 0.008 0.468
Cs 0.486 0.992 0.968
Cs 0.514 0.492 0.532
Cs 0.986 0.508 0.032
Tb 0.207 0.020 0.728
Tb 0.293 0.980 0.228
Tb 0.707 0.480 0.272
Tb 0.793 0.520 0.772
Si 0.209 0.517 0.333
Si 0.291 0.483 0.833
Si 0.709 0.983 0.667
Si 0.791 0.017 0.167
S 0.057 0.013 0.095
S 0.065 0.249 0.854
S 0.103 0.750 0.845
S 0.109 0.574 0.219
S 0.391 0.426 0.719
S 0.397 0.250 0.345
S 0.435 0.751 0.354
S 0.443 0.987 0.595
S 0.557 0.487 0.905
S 0.565 0.251 0.146
S 0.603 0.750 0.155
S 0.609 0.926 0.781
S 0.891 0.074 0.281
S 0.897 0.250 0.655
S 0.935 0.749 0.646
S 0.943 0.513 0.405

Calculated values
The calculated total energy comes out at -578.9 eV/cell. The calculated density is 4.08 g/cm3. The raw formation energy comes out at -1.6591 eV per atom.

---

Entry 2:
## Cs3TaS4 (meta-GGA SCAN)

Data for a PBEsol-optimized structure of Cs3TaS4.

abc: 9.841 11.413 9.924
angles: 90.00 90.00 90.00
Element x y z (fractional)
Cs 0.049 0.041 0.209
Cs 0.049 0.459 0.209
Cs 0.146 0.750 0.417
Cs 0.354 0.250 0.917
Cs 0.451 0.541 0.709
Cs 0.451 0.959 0.709
Cs 0.549 0.041 0.291
Cs 0.549 0.459 0.291
Cs 0.646 0.750 0.083
Cs 0.854 0.250 0.583
Cs 0.951 0.541 0.791
Cs 0.951 0.959 0.791
Ta 0.223 0.750 0.984
Ta 0.277 0.250 0.484
Ta 0.723 0.750 0.516
Ta 0.777 0.250 0.016
S 0.010 0.750 0.073
S 0.165 0.085 0.548
S 0.165 0.415 0.548
S 0.207 0.750 0.756
S 0.293 0.250 0.256
S 0.335 0.585 0.048
S 0.335 0.915 0.048
S 0.490 0.250 0.573
S 0.510 0.750 0.427
S 0.665 0.085 0.952
S 0.665 0.415 0.952
S 0.707 0.750 0.744
S 0.793 0.250 0.244
S 0.835 0.585 0.452
S 0.835 0.915 0.452
S 0.990 0.250 0.927

Calculated values
The calculated total energy comes out at -922.8 eV/cell. The calculated density is 4.22 g/cm3. The raw formation energy comes out at -1.5230 eV per atom.

---

> Look up the raw formation energy of the first one.

-1.6591 eV per atom